# Ta2CoP

A relaxed Ta2CoP crystal (PBE, the Alexandria database).

The structure in POSCAR format:
```
Ta2CoP
1.0
0.000 3.091 3.091
3.091 0.000 3.091
3.091 3.091 0.000
Ta Co P
2 1 1
direct
0.000 0.000 0.000 Ta
0.250 0.250 0.250 Ta
0.750 0.750 0.750 Co
0.500 0.500 0.500 P
```

Final energy   -8.7961 eV per atom